# 1
Compound: U3TaN7
Source: Alexandria
Functional: PBE-GGA
Structure: relaxed

Summary:
Crystal system   orthorhombic

POSCAR file:
```
U3TaN7
1.0
6.3951 0.0622 0.0000
-2.1566 6.0209 0.0000
0.0000 0.0000 7.3681
U Ta N
6 2 14
Cartesian
2.1192 3.0414 3.6840
2.1193 3.0416 0.0000
3.3733 0.0482 1.8419
0.8653 6.0349 5.5259
-1.1231 3.1812 5.5262
5.3617 2.9018 1.8422
0.0000 0.0001 3.6840
4.2385 6.0830 0.0000
2.2139 5.4888 3.8949
2.0247 0.5942 0.2109
4.3824 3.9779 3.4731
-0.1438 2.1052 7.1572
-0.1437 2.1051 3.8948
4.3822 3.9779 0.2108
2.0246 0.5943 3.4733
2.2140 5.4887 7.1573
1.0238 3.8049 1.8420
3.2148 2.2782 5.5261
3.2966 2.2212 1.8420
0.9420 3.8618 5.5261
5.6363 0.5909 1.8420
-1.3978 5.4922 5.5261
```

# 2
Compound: U2TaN3
Source: Alexandria
Functional: PBE-GGA
Structure: relaxed

Summary:
Crystal system   tetragonal

POSCAR file:
```
U2TaN3
1.0
3.2596 -0.0002 -0.7427
-0.1690 3.2552 -0.7431
-0.0242 -0.0245 7.4184
U Ta N
2 1 3
Cartesian
0.2934 0.3140 1.3286
2.3722 2.5038 2.9271
1.3207 1.3966 5.8371
2.8657 3.0246 5.0941
0.8332 0.8828 3.6976
1.8325 1.9348 0.5582
```

# 3
Compound: Zr2U3TaN6
Source: Alexandria
Functional: PBE-GGA
Structure: relaxed

Summary:
Crystal system   monoclinic

POSCAR file:
```
Zr2U3TaN6
1.0
-3.3803 -1.2642 -4.4265
4.1184 -3.6289 1.5775
-3.7728 -0.8858 4.3631
Zr U Ta N
2 3 1 6
Cartesian
1.6170 -2.8401 -0.4253
-0.8789 -2.0531 -2.4237
0.9684 -3.6733 2.7474
-4.0031 -2.1056 -1.2332
-1.5173 -2.8895 0.7571
0.0000 0.0000 0.0000
-3.5575 -4.0245 0.2166
-0.3230 -3.8959 -1.1310
0.5228 -1.7545 1.2975
-1.1273 -4.7908 2.1625
-2.7117 -1.8831 2.6451
-1.9074 -0.9881 -0.6484
```

# 4
Compound: Zr3U2TaN6
Source: Alexandria
Functional: PBE-GGA
Structure: relaxed

Summary:
Crystal system   monoclinic

POSCAR file:
```
Zr3U2TaN6
1.0
5.6721 0.0098 0.0020
-2.8261 4.9179 0.0020
-0.9485 -1.6424 5.4347
Zr U Ta N
3 2 1 6
Cartesian
-1.9141 3.2961 2.7194
3.8115 -0.0107 2.7194
0.9487 1.6427 2.7194
0.0140 3.2776 0.0020
2.8319 1.6502 0.0020
0.0000 0.0000 0.0000
2.8266 1.6836 4.0802
1.9207 3.3257 1.3667
-0.9292 1.6018 1.3586
0.0457 3.2897 4.0802
-0.0233 -0.0403 4.0721
1.8518 -0.0043 1.3586
```

# 5
Compound: TaV3N4
Source: Alexandria
Functional: PBE-GGA
Structure: relaxed

Summary:
Crystal system   cubic

POSCAR file:
```
TaV3N4
1.0
4.2202 0.0000 0.0000
0.0000 4.2202 0.0000
0.0000 0.0000 4.2202
Ta V N
1 3 4
Cartesian
2.1101 2.1101 2.1101
0.0000 0.0000 2.1101
0.0000 2.1101 0.0000
2.1101 0.0000 0.0000
2.1101 2.1101 0.0000
2.1101 0.0000 2.1101
0.0000 2.1101 2.1101
0.0000 0.0000 0.0000
```

# 6
Compound: Ta4VN
Source: Alexandria
Functional: PBE-GGA
Structure: relaxed

Summary:
Crystal system   monoclinic

POSCAR file:
```
Ta4VN
1.0
6.3199 0.0000 -0.6856
0.0000 5.3559 0.0000
-0.7925 0.0000 5.6650
Ta V N
8 2 2
Cartesian
5.3956 3.2681 0.2453
3.2918 0.5902 4.3913
1.5844 1.8390 2.0687
0.7830 4.5169 3.2535
0.1318 2.0878 4.7341
2.2356 4.7657 0.5881
3.9430 3.5169 2.9107
4.7444 0.8390 1.7259
0.0000 0.0000 0.0000
3.1600 2.6779 -0.3428
2.7637 0.0000 2.4897
-0.3963 2.6779 2.8325
```

# 7
Compound: TaVN
Source: Alexandria
Functional: PBE-GGA
Structure: relaxed

Summary:
Crystal system   trigonal
E above lowest polymorph   0.0000 eV/atom

POSCAR file:
```
TaVN
1.0
4.6530 0.0000 0.0000
0.0000 3.0162 0.0000
0.0000 -1.5081 2.6121
N V Ta
1 1 1
Cartesian
1.4713 1.5081 0.8707
0.4290 0.0000 0.0000
2.7527 0.0000 1.7414
```

# 8
Compound: Ta3VN
Source: Alexandria
Functional: PBE-GGA
Structure: relaxed

Summary:
Crystal system   cubic
E above lowest polymorph   2.5095 eV/atom

POSCAR file:
```
Ta3VN
1.0
4.5978 0.0000 0.0000
0.0000 4.5978 0.0000
0.0000 0.0000 4.5978
V Ta N
1 3 1
Cartesian
0.0000 0.0000 0.0000
0.0000 2.2989 0.0000
0.0000 0.0000 2.2989
2.2989 0.0000 0.0000
2.2989 2.2989 2.2989
```

# 9
Compound: Ta3VN
Source: Alexandria
Functional: PBE-GGA
Structure: relaxed

Summary:
Crystal system   cubic
E above lowest polymorph   0.0000 eV/atom

POSCAR file:
```
Ta3VN
1.0
4.2399 0.0000 0.0000
0.0000 4.2399 0.0000
0.0000 0.0000 4.2399
V Ta N
1 3 1
Cartesian
2.1199 2.1199 2.1199
0.0000 2.1199 0.0000
0.0000 0.0000 2.1199
2.1199 0.0000 0.0000
0.0000 0.0000 0.0000
```

# 10
Compound: TaVN3
Source: Alexandria
Functional: PBE-GGA
Structure: relaxed

Summary:
Crystal system   cubic

POSCAR file:
```
TaVN3
1.0
-2.5545 0.5757 2.6535
-2.7074 -0.8159 -2.4294
0.2056 -3.5917 0.9772
V Ta N
1 1 3
Cartesian
0.0000 0.0000 0.0000
-2.5282 -1.9160 0.6007
-1.3537 -0.4080 -1.2147
0.1028 -1.7959 0.4886
-1.2772 0.2878 1.3268
```

# 11
Compound: TaVN
Source: Alexandria
Functional: PBE-GGA
Structure: relaxed

Summary:
Crystal system   tetragonal
E above lowest polymorph   0.6181 eV/atom

POSCAR file:
```
TaVN
1.0
2.6864 0.0000 0.0000
0.0000 2.6864 0.0000
-1.3432 -1.3432 4.8711
V Ta N
1 1 1
Cartesian
0.0000 0.0000 2.3474
1.3432 1.3432 4.6064
1.3432 1.3432 1.3271
```

# 12
Compound: TaVN3
Source: Alexandria
Functional: PBE-GGA
Structure: relaxed

Summary:
Crystal system   cubic

POSCAR file:
```
TaVN3
1.0
-3.8094 0.7461 -1.0544
-1.1016 -3.5912 1.4386
-0.6745 1.6511 3.6054
V Ta N
1 1 3
Cartesian
-2.7927 -0.5970 1.9948
0.0000 0.0000 0.0000
-0.5508 -1.7956 0.7193
-0.3373 0.8256 1.8027
-1.9047 0.3731 -0.5272
```

# 13
Compound: TaVN
Source: Alexandria
Functional: PBE-GGA
Structure: relaxed

Summary:
Crystal system   cubic
E above lowest polymorph   0.2183 eV/atom

POSCAR file:
```
TaVN
1.0
5.2176 0.0000 0.0000
0.0000 5.2176 0.0000
0.0000 0.0000 5.2176
V N Ta
4 4 4
Cartesian
1.8695 3.3482 0.7393
0.7393 1.8695 3.3482
3.3482 0.7393 1.8695
4.4783 4.4783 4.4783
2.5584 2.5584 2.5584
0.0504 2.6593 5.1672
5.1672 0.0504 2.6593
2.6593 5.1672 0.0504
0.7737 0.7737 0.7737
3.3825 1.8351 4.4440
1.8351 4.4440 3.3825
4.4440 3.3825 1.8351
```

# 14
Compound: Ta3V2N
Source: Alexandria
Functional: PBE-GGA
Structure: relaxed

Summary:
Crystal system   cubic

POSCAR file:
```
Ta3V2N
1.0
-4.4849 3.1350 4.4190
-3.3255 -6.1216 0.9678
4.2775 -1.4723 5.3857
Ta V N
12 8 4
Cartesian
-1.4534 -0.6446 5.9790
0.4306 0.6517 7.8734
-3.2607 -2.5527 4.5964
-2.1345 -0.4696 8.8642
-0.4576 -3.3300 5.1940
-1.5795 0.3603 3.2413
-0.0911 -6.2559 4.8431
-5.1366 -3.9112 6.4550
-1.9023 -2.3284 2.0225
-6.0806 -1.6415 4.7888
-0.2363 -5.0945 7.5723
0.7044 -1.5373 3.2049
-0.0410 -2.1501 7.9320
-2.3812 -3.0053 7.2606
-4.2459 -1.2537 6.9241
-2.5105 -5.1752 5.8700
-2.1328 -4.9910 3.3240
-4.0444 0.3376 4.9027
1.4925 -1.2592 6.0576
-0.2685 -0.3389 0.8188
-1.6665 1.0577 7.3537
1.1037 -4.7224 5.8697
-5.1782 -3.5811 4.2819
-1.3248 -1.6721 4.0397
```

# 15
Compound: YTaVN2
Source: Alexandria
Functional: PBE-GGA
Structure: relaxed

Summary:
Crystal system   tetragonal

POSCAR file:
```
YTaVN2
1.0
-3.9463 0.8735 1.0215
-1.5973 -5.3315 -1.6119
0.6969 -1.3794 3.8718
Y N V Ta
1 2 1 1
Cartesian
0.0000 0.0000 0.0000
0.3484 -0.6897 1.9359
-1.9731 0.4367 0.5107
-2.4233 -2.9187 1.6407
-0.7986 -2.6658 -0.8059
```

# 16
Compound: Ta2VZnN
Source: Alexandria
Functional: PBE-GGA
Structure: relaxed

Summary:
Crystal system   tetragonal

POSCAR file:
```
Ta2VZnN
1.0
-1.4721 4.0417 0.1641
-3.9825 -1.4176 -0.8119
-0.6265 -0.3799 3.7364
N Zn V Ta
1 1 1 2
Cartesian
0.0000 0.0000 0.0000
-3.0406 1.1221 1.5443
-0.3133 -0.1900 1.8682
-1.9912 -0.7088 -0.4060
-0.7361 2.0208 0.0821
```

# 17
Compound: TaWN3
Source: Alexandria
Functional: PBE-GGA
Structure: relaxed

Summary:
Crystal system   cubic

POSCAR file:
```
TaWN3
1.0
3.8862 0.0000 0.0000
0.0000 3.8862 0.0000
0.0000 0.0000 3.8862
N W Ta
3 1 1
Cartesian
0.0000 1.9431 0.0000
0.0000 0.0000 1.9431
1.9431 0.0000 0.0000
0.0000 0.0000 0.0000
1.9431 1.9431 1.9431
```

# 18
Compound: TaWN3
Source: Alexandria
Functional: PBE-GGA
Structure: relaxed

Summary:
Crystal system   cubic

POSCAR file:
```
TaWN3
1.0
3.9851 0.0000 0.0000
0.0000 3.9851 0.0000
0.0000 0.0000 3.9851
N W Ta
3 1 1
Cartesian
0.0000 1.9926 0.0000
0.0000 0.0000 1.9926
1.9926 0.0000 0.0000
1.9926 1.9926 1.9926
0.0000 0.0000 0.0000
```

# 19
Compound: TaWN2
Source: Alexandria
Functional: PBE-GGA
Structure: relaxed

Summary:
Crystal system   cubic
E above lowest polymorph   0.5149 eV/atom

POSCAR file:
```
TaWN2
1.0
0.0000 2.7422 2.7422
2.7422 0.0000 2.7422
2.7422 2.7422 0.0000
N W Ta
2 1 1
Cartesian
1.3711 1.3711 1.3711
4.1132 4.1132 4.1132
2.7422 2.7422 2.7422
0.0000 0.0000 0.0000
```

# 20
Compound: TaWN2
Source: Alexandria
Functional: PBE-GGA
Structure: relaxed

Summary:
Crystal system   trigonal
E above lowest polymorph   0.0000 eV/atom

POSCAR file:
```
TaWN2
1.0
1.7580 0.0000 6.3482
-0.8790 1.5225 6.3482
-0.8790 -1.5225 6.3482
N W Ta
2 1 1
Cartesian
0.0000 0.0000 17.0537
0.0000 0.0000 1.9910
0.0000 0.0000 0.0000
0.0000 0.0000 9.5223
```

# 21
Compound: TaWN2
Source: Alexandria
Functional: PBE-GGA
Structure: relaxed

Summary:
Crystal system   trigonal
E above lowest polymorph   0.2153 eV/atom

POSCAR file:
```
TaWN2
1.0
-4.1695 -5.0335 -1.2647
-2.3710 -6.1553 0.9002
-4.7219 -4.3952 1.6451
N W Ta
2 1 1
Cartesian
-10.0724 -13.9374 1.1453
-1.1900 -1.6467 0.1353
-5.6312 -7.7920 0.6403
0.0000 0.0000 0.0000
```

# 22
Compound: TaWN3
Source: Alexandria
Functional: PBE-GGA
Structure: relaxed

Summary:
Crystal system   triclinic

POSCAR file:
```
TaWN3
1.0
5.8826 -0.0008 -0.0003
-1.8958 7.6558 -0.0041
-2.7636 -3.3184 7.1502
Ta W N
4 4 12
Cartesian
-1.9415 5.2054 2.7308
3.1646 -0.8688 4.4150
-3.7026 2.0367 6.7414
4.9257 2.2999 0.4044
0.3760 4.4379 5.5573
0.8472 -0.1014 1.5885
3.8836 -0.4954 1.4416
-2.6605 4.8320 5.7041
0.3964 6.5748 0.2764
0.8267 -2.2383 6.8694
2.0136 3.3016 5.1386
-0.7905 1.0349 2.0071
3.3298 6.4679 0.2166
-2.1067 -2.1313 6.9292
-0.7597 -1.3016 4.5909
1.9828 5.6382 2.5549
2.1608 0.0382 2.9019
-0.9377 4.2984 4.2439
2.7724 0.3007 5.9408
-1.5493 4.0359 1.2050
```

# 23
Compound: Ta3WN
Source: Alexandria
Functional: PBE-GGA
Structure: relaxed

Summary:
Crystal system   cubic
E above lowest polymorph   2.8918 eV/atom

POSCAR file:
```
Ta3WN
1.0
-4.2147 -2.3871 -0.2578
2.3038 -3.8740 -1.7927
0.6764 -1.6801 4.4998
N W Ta
1 1 3
Cartesian
-0.6173 -3.9706 1.2247
0.0000 0.0000 0.0000
1.1519 -1.9370 -0.8964
0.3382 -0.8401 2.2499
-2.1074 -1.1936 -0.1289
```

# 24
Compound: Ta3WN
Source: Alexandria
Functional: PBE-GGA
Structure: relaxed

Summary:
Crystal system   cubic
E above lowest polymorph   0.0000 eV/atom

POSCAR file:
```
Ta3WN
1.0
4.2587 0.0000 0.0000
0.0000 4.2587 0.0000
0.0000 0.0000 4.2587
N W Ta
1 1 3
Cartesian
0.0000 0.0000 0.0000
2.1293 2.1293 2.1293
0.0000 2.1293 0.0000
0.0000 0.0000 2.1293
2.1293 0.0000 0.0000
```

Respective energy relative to the elements, uncorrected values: -1276 -1205 -1433 -1472 -962 -151 -835 2160 -350 229 -217 341 -617 -437 2100 -411 535 880 174 -340 -125 -374 2583 -309 meV/atom.
Respective spin magnetization values: 1.7 1.5 4.3 0.6 0.0 0.0 0.0 0.0 0.0 0.4 0.0 1.3 0.0 0.0 1.3 0.0 0.0 2.0 0.0 0.0 0.0 0.0 0.0 0.0 μB/f.u..
Respective VASP energy values: -10.730 -11.106 -10.830 -10.641 -10.026 -10.960 -10.601 -8.441 -10.950 -8.961 -9.983 -8.848 -10.382 -10.791 -6.717 -8.895 -9.421 -9.076 -10.190 -10.705 -10.489 -10.330 -8.784 -11.676 eV/atom.